a:
# ReSeS2 (PBE, relaxed)
# Density of states at the Fermi level (states/eV/cell): 7.4
data_ReSeS2
_space_group_name_H-M_alt 'F m -3 m'
_space_group_IT_number 225
_space_group_name_Hall '-F 4 2 3'
_cell_length_a 6.223
_cell_length_b 6.223
_cell_length_c 6.223
_cell_angle_alpha 90.00
_cell_angle_beta 90.00
_cell_angle_gamma 90.00
loop_
_atom_site_label
_atom_site_type_symbol
_atom_site_fract_x
_atom_site_fract_y
_atom_site_fract_z
Re1 Re 0.000 0.000 0.000
Se1 Se 0.000 0.000 0.500
S1 S 0.250 0.250 0.250

***

b:
# ReSeS2 (PBE, relaxed)
# Density of states at the Fermi level (states/eV/cell): 12.4
data_ReSeS2
_space_group_name_H-M_alt 'I -4 2 d'
_space_group_IT_number 122
_space_group_name_Hall 'I -4 2bw'
_cell_length_a 6.285
_cell_length_b 6.285
_cell_length_c 8.870
_cell_angle_alpha 90.00
_cell_angle_beta 90.00
_cell_angle_gamma 90.00
loop_
_atom_site_label
_atom_site_type_symbol
_atom_site_fract_x
_atom_site_fract_y
_atom_site_fract_z
Re1 Re 0.000 0.000 0.000
Se1 Se 0.000 0.000 0.500
S1 S 0.181 0.250 0.125

***

c:
# ReSeS2 (PBE, relaxed)
# Density of states at the Fermi level (states/eV/cell): 5.0
data_ReSeS2
_space_group_name_H-M_alt 'P 1'
_space_group_IT_number 1
_cell_length_a 3.321
_cell_length_b 5.442
_cell_length_c 10.125
_cell_angle_alpha 86.75
_cell_angle_beta 89.95
_cell_angle_gamma 90.00
loop_
_space_group_symop_operation_xyz
'x,y,z'
loop_
_atom_site_label
_atom_site_type_symbol
_atom_site_fract_x
_atom_site_fract_y
_atom_site_fract_z
Re1 Re 0.000 0.000 0.000
Re2 Re 0.319 0.500 0.000
Se1 Se 0.324 0.300 0.499
Se2 Se 0.324 0.704 0.502
S1 S 0.475 0.156 0.149
S2 S 0.475 0.844 0.851
S3 S 0.843 0.657 0.149
S4 S 0.844 0.343 0.851

***

d:
# ReSeS2 (PBE, relaxed)
# Density of states at the Fermi level (states/eV/cell): 11.9
data_ReSeS2
_space_group_name_H-M_alt 'R -3 m'
_space_group_IT_number 166
_space_group_name_Hall '-R 3 2"'
_cell_length_a 3.3219
_cell_length_b 3.3219
_cell_length_c 23.8154
_cell_angle_alpha 90.00
_cell_angle_beta 90.00
_cell_angle_gamma 120.00
loop_
_atom_site_label
_atom_site_type_symbol
_atom_site_fract_x
_atom_site_fract_y
_atom_site_fract_z
Re1 Re 0.0000 0.0000 0.0000
Se1 Se 0.0000 0.0000 0.5000
S1 S 0.0000 0.0000 0.3951

***

Which of them is the most stable? Correct choice: c.

***

a:
# ReSe2S (PBE, relaxed)
# Density of states at the Fermi level (states/eV/cell): 17.7
data_ReSe2S
_space_group_name_H-M_alt 'I -4 2 d'
_space_group_IT_number 122
_space_group_name_Hall 'I -4 2bw'
_cell_length_a 6.431
_cell_length_b 6.431
_cell_length_c 9.174
_cell_angle_alpha 90.00
_cell_angle_beta 90.00
_cell_angle_gamma 90.00
loop_
_atom_site_label
_atom_site_type_symbol
_atom_site_fract_x
_atom_site_fract_y
_atom_site_fract_z
Re1 Re 0.000 0.000 0.000
Se1 Se 0.205 0.250 0.125
S1 S 0.000 0.000 0.500

***

b:
# ReSe2S (PBE, relaxed)
# Density of states at the Fermi level (states/eV/cell): 7.7
data_ReSe2S
_space_group_name_H-M_alt 'F m -3 m'
_space_group_IT_number 225
_space_group_name_Hall '-F 4 2 3'
_cell_length_a 6.396
_cell_length_b 6.396
_cell_length_c 6.396
_cell_angle_alpha 90.00
_cell_angle_beta 90.00
_cell_angle_gamma 90.00
loop_
_atom_site_label
_atom_site_type_symbol
_atom_site_fract_x
_atom_site_fract_y
_atom_site_fract_z
Re1 Re 0.000 0.000 0.000
Se1 Se 0.250 0.250 0.250
S1 S 0.000 0.000 0.500

***

Which of them is the most stable? Correct choice: a.

***

a:
# ReSe3S (PBE, relaxed)
# Density of states at the Fermi level (states/eV/cell): 6.5
data_ReSe3S
_space_group_name_H-M_alt 'P m -3 m'
_space_group_IT_number 221
_space_group_name_Hall '-P 4 2 3'
_cell_length_a 4.844
_cell_length_b 4.844
_cell_length_c 4.844
_cell_angle_alpha 90.00
_cell_angle_beta 90.00
_cell_angle_gamma 90.00
loop_
_atom_site_label
_atom_site_type_symbol
_atom_site_fract_x
_atom_site_fract_y
_atom_site_fract_z
Re1 Re 0.000 0.000 0.000
Se1 Se 0.000 0.000 0.500
S1 S 0.500 0.500 0.500

***

b:
# ReSe3S (PBE, relaxed)
# Density of states at the Fermi level (states/eV/cell): 4.6
data_ReSe3S
_space_group_name_H-M_alt 'P m -3 m'
_space_group_IT_number 221
_space_group_name_Hall '-P 4 2 3'
_cell_length_a 4.649
_cell_length_b 4.649
_cell_length_c 4.649
_cell_angle_alpha 90.00
_cell_angle_beta 90.00
_cell_angle_gamma 90.00
loop_
_atom_site_label
_atom_site_type_symbol
_atom_site_fract_x
_atom_site_fract_y
_atom_site_fract_z
Re1 Re 0.000 0.000 0.000
Se1 Se 0.000 0.500 0.500
S1 S 0.500 0.500 0.500

***

Which of them is the most stable? Correct choice: a.

***

a:
# TaReS2 (PBE, relaxed)
# Density of states at the Fermi level (states/eV/cell): 13.7
data_TaReS2
_space_group_name_H-M_alt 'F m -3 m'
_space_group_IT_number 225
_space_group_name_Hall '-F 4 2 3'
_cell_length_a 6.072
_cell_length_b 6.072
_cell_length_c 6.072
_cell_angle_alpha 90.00
_cell_angle_beta 90.00
_cell_angle_gamma 90.00
loop_
_atom_site_label
_atom_site_type_symbol
_atom_site_fract_x
_atom_site_fract_y
_atom_site_fract_z
Ta1 Ta 0.000 0.000 0.000
Re1 Re 0.000 0.000 0.500
S1 S 0.250 0.250 0.250

***

b:
# TaReS2 (PBE, relaxed)
# Density of states at the Fermi level (states/eV/cell): 8.2
data_TaReS2
_space_group_name_H-M_alt 'R -3 m'
_space_group_IT_number 166
_space_group_name_Hall '-R 3 2"'
_cell_length_a 3.0481
_cell_length_b 3.0481
_cell_length_c 24.2933
_cell_angle_alpha 90.00
_cell_angle_beta 90.00
_cell_angle_gamma 120.00
loop_
_atom_site_label
_atom_site_type_symbol
_atom_site_fract_x
_atom_site_fract_y
_atom_site_fract_z
Ta1 Ta 0.0000 0.0000 0.0000
Re1 Re 0.0000 0.0000 0.5000
S1 S 0.0000 0.0000 0.4051

***

Which of them is the most stable? Correct choice: b.

***

a:
# Ta3ReS (PBE, relaxed)
# Density of states at the Fermi level (states/eV/cell): 6.8
data_Ta3ReS
_space_group_name_H-M_alt 'P m -3 m'
_space_group_IT_number 221
_space_group_name_Hall '-P 4 2 3'
_cell_length_a 4.488
_cell_length_b 4.488
_cell_length_c 4.488
_cell_angle_alpha 90.00
_cell_angle_beta 90.00
_cell_angle_gamma 90.00
loop_
_atom_site_label
_atom_site_type_symbol
_atom_site_fract_x
_atom_site_fract_y
_atom_site_fract_z
Ta1 Ta 0.000 0.000 0.500
Re1 Re 0.500 0.500 0.500
S1 S 0.000 0.000 0.000

***

b:
# Ta3ReS (PBE, relaxed)
# Density of states at the Fermi level (states/eV/cell): 5.4
data_Ta3ReS
_space_group_name_H-M_alt 'P m -3 m'
_space_group_IT_number 221
_space_group_name_Hall '-P 4 2 3'
_cell_length_a 4.868
_cell_length_b 4.868
_cell_length_c 4.868
_cell_angle_alpha 90.00
_cell_angle_beta 90.00
_cell_angle_gamma 90.00
loop_
_atom_site_label
_atom_site_type_symbol
_atom_site_fract_x
_atom_site_fract_y
_atom_site_fract_z
Ta1 Ta 0.000 0.000 0.500
Re1 Re 0.000 0.000 0.000
S1 S 0.500 0.500 0.500

***

Which of them is the most stable? Correct choice: a.

***

a:
# ReTc2S2 (PBE, relaxed)
# Density of states at the Fermi level (states/eV/cell): 4.3
data_ReTc2S2
_space_group_name_H-M_alt 'I 4/m m m'
_space_group_IT_number 139
_space_group_name_Hall '-I 4 2'
_cell_length_a 3.667
_cell_length_b 3.667
_cell_length_c 11.225
_cell_angle_alpha 90.00
_cell_angle_beta 90.00
_cell_angle_gamma 90.00
loop_
_atom_site_label
_atom_site_type_symbol
_atom_site_fract_x
_atom_site_fract_y
_atom_site_fract_z
Re1 Re 0.000 0.000 0.000
Tc1 Tc 0.000 0.000 0.385
S1 S 0.000 0.500 0.250

***

b:
# ReTc2S2 (PBE, relaxed)
# Density of states at the Fermi level (states/eV/cell): 10.4
data_ReTc2S2
_space_group_name_H-M_alt 'P 4/m b m'
_space_group_IT_number 127
_space_group_name_Hall '-P 4 2ab'
_cell_length_a 6.995
_cell_length_b 6.995
_cell_length_c 2.938
_cell_angle_alpha 90.00
_cell_angle_beta 90.00
_cell_angle_gamma 90.00
loop_
_atom_site_label
_atom_site_type_symbol
_atom_site_fract_x
_atom_site_fract_y
_atom_site_fract_z
Re1 Re 0.000 0.000 0.000
Tc1 Tc 0.144 0.356 0.000
S1 S 0.146 0.646 0.500

***

Which of them is the most stable? Correct choice: a.

***

a:
# ReTcS3 (PBE, relaxed)
# Density of states at the Fermi level (states/eV/cell): 5.2
data_ReTcS3
_space_group_name_H-M_alt 'P m -3 m'
_space_group_IT_number 221
_space_group_name_Hall '-P 4 2 3'
_cell_length_a 4.613
_cell_length_b 4.613
_cell_length_c 4.613
_cell_angle_alpha 90.00
_cell_angle_beta 90.00
_cell_angle_gamma 90.00
loop_
_atom_site_label
_atom_site_type_symbol
_atom_site_fract_x
_atom_site_fract_y
_atom_site_fract_z
Re1 Re 0.000 0.000 0.000
Tc1 Tc 0.500 0.500 0.500
S1 S 0.000 0.500 0.500

***

b:
# ReTcS3 (PBE, relaxed)
# Density of states at the Fermi level (states/eV/cell): 5.3
data_ReTcS3
_space_group_name_H-M_alt 'P m -3 m'
_space_group_IT_number 221
_space_group_name_Hall '-P 4 2 3'
_cell_length_a 4.638
_cell_length_b 4.638
_cell_length_c 4.638
_cell_angle_alpha 90.00
_cell_angle_beta 90.00
_cell_angle_gamma 90.00
loop_
_atom_site_label
_atom_site_type_symbol
_atom_site_fract_x
_atom_site_fract_y
_atom_site_fract_z
Re1 Re 0.000 0.000 0.000
Tc1 Tc 0.500 0.500 0.500
S1 S 0.000 0.000 0.500

***

Which of them is the most stable? Correct choice: b.

***

a:
# Re3TeS (PBE, relaxed)
# Density of states at the Fermi level (states/eV/cell): 6.1
data_Re3TeS
_space_group_name_H-M_alt 'P m -3 m'
_space_group_IT_number 221
_space_group_name_Hall '-P 4 2 3'
_cell_length_a 4.866
_cell_length_b 4.866
_cell_length_c 4.866
_cell_angle_alpha 90.00
_cell_angle_beta 90.00
_cell_angle_gamma 90.00
loop_
_atom_site_label
_atom_site_type_symbol
_atom_site_fract_x
_atom_site_fract_y
_atom_site_fract_z
Re1 Re 0.000 0.000 0.500
Te1 Te 0.000 0.000 0.000
S1 S 0.500 0.500 0.500

***

b:
# Re3TeS (PBE, relaxed)
# Density of states at the Fermi level (states/eV/cell): 7.2
data_Re3TeS
_space_group_name_H-M_alt 'P m -3 m'
_space_group_IT_number 221
_space_group_name_Hall '-P 4 2 3'
_cell_length_a 4.454
_cell_length_b 4.454
_cell_length_c 4.454
_cell_angle_alpha 90.00
_cell_angle_beta 90.00
_cell_angle_gamma 90.00
loop_
_atom_site_label
_atom_site_type_symbol
_atom_site_fract_x
_atom_site_fract_y
_atom_site_fract_z
Re1 Re 0.000 0.000 0.500
Te1 Te 0.500 0.500 0.500
S1 S 0.000 0.000 0.000

***

Which of them is the most stable? Correct choice: b.

***

a:
# Re2TeS (PBE, relaxed)
# Density of states at the Fermi level (states/eV/cell): 8.4
data_Re2TeS
_space_group_name_H-M_alt 'I -4 2 d'
_space_group_IT_number 122
_space_group_name_Hall 'I -4 2bw'
_cell_length_a 4.461
_cell_length_b 4.461
_cell_length_c 15.431
_cell_angle_alpha 90.00
_cell_angle_beta 90.00
_cell_angle_gamma 90.00
loop_
_atom_site_label
_atom_site_type_symbol
_atom_site_fract_x
_atom_site_fract_y
_atom_site_fract_z
Re1 Re 0.166 0.250 0.125
Te1 Te 0.000 0.000 0.500
S1 S 0.000 0.000 0.000

***

b:
# Re2TeS (PBE, relaxed)
# Density of states at the Fermi level (states/eV/cell): 12.8
data_Re2TeS
_space_group_name_H-M_alt 'F m -3 m'
_space_group_IT_number 225
_space_group_name_Hall '-F 4 2 3'
_cell_length_a 6.340
_cell_length_b 6.340
_cell_length_c 6.340
_cell_angle_alpha 90.00
_cell_angle_beta 90.00
_cell_angle_gamma 90.00
loop_
_atom_site_label
_atom_site_type_symbol
_atom_site_fract_x
_atom_site_fract_y
_atom_site_fract_z
Re1 Re 0.250 0.250 0.250
Te1 Te 0.000 0.000 0.000
S1 S 0.000 0.000 0.500

***

Which of them is the most stable? Correct choice: a.

***

a:
# ReTeS (PBE, relaxed)
# Density of states at the Fermi level (states/eV/cell): 8.6
data_ReTeS
_space_group_name_H-M_alt 'C 1 2/m 1'
_space_group_IT_number 12
_cell_length_a 13.270
_cell_length_b 3.097
_cell_length_c 9.399
_cell_angle_alpha 90.00
_cell_angle_beta 125.32
_cell_angle_gamma 90.00
loop_
_space_group_symop_operation_xyz
'x,y,z'
'-x,-y,-z'
'-x,y,-z'
'x,-y,z'
'x+1/2,y+1/2,z'
'-x+1/2,-y+1/2,-z'
'-x+1/2,y+1/2,-z'
'x+1/2,-y+1/2,z'
loop_
_atom_site_label
_atom_site_type_symbol
_atom_site_fract_x
_atom_site_fract_y
_atom_site_fract_z
Re1 Re 0.246 0.000 0.115
Te1 Te 0.163 0.000 0.590
S1 S 0.095 0.500 0.927

***

b:
# ReTeS (PBE, relaxed)
# Density of states at the Fermi level (states/eV/cell): 2.2
data_ReTeS
_space_group_name_H-M_alt 'F -4 3 m'
_space_group_IT_number 216
_space_group_name_Hall 'F -4 2 3'
_cell_length_a 10.187
_cell_length_b 10.187
_cell_length_c 10.187
_cell_angle_alpha 90.00
_cell_angle_beta 90.00
_cell_angle_gamma 90.00
loop_
_atom_site_label
_atom_site_type_symbol
_atom_site_fract_x
_atom_site_fract_y
_atom_site_fract_z
Re1 Re 0.098 0.098 0.402
Te1 Te 0.128 0.128 0.128
S1 S 0.129 0.129 0.629

***

Which of them is the most stable? Correct choice: b.

***

a:
# ReTeS3 (PBE, relaxed)
# Density of states at the Fermi level (states/eV/cell): 3.0
data_ReTeS3
_space_group_name_H-M_alt 'P m -3 m'
_space_group_IT_number 221
_space_group_name_Hall '-P 4 2 3'
_cell_length_a 4.649
_cell_length_b 4.649
_cell_length_c 4.649
_cell_angle_alpha 90.00
_cell_angle_beta 90.00
_cell_angle_gamma 90.00
loop_
_atom_site_label
_atom_site_type_symbol
_atom_site_fract_x
_atom_site_fract_y
_atom_site_fract_z
Re1 Re 0.000 0.000 0.000
Te1 Te 0.500 0.500 0.500
S1 S 0.000 0.000 0.500

***

b:
# ReTeS3 (PBE, relaxed)
# Density of states at the Fermi level (states/eV/cell): 1.9
data_ReTeS3
_space_group_name_H-M_alt 'P m -3 m'
_space_group_IT_number 221
_space_group_name_Hall '-P 4 2 3'
_cell_length_a 5.000
_cell_length_b 5.000
_cell_length_c 5.000
_cell_angle_alpha 90.00
_cell_angle_beta 90.00
_cell_angle_gamma 90.00
loop_
_atom_site_label
_atom_site_type_symbol
_atom_site_fract_x
_atom_site_fract_y
_atom_site_fract_z
Re1 Re 0.000 0.000 0.000
Te1 Te 0.500 0.500 0.500
S1 S 0.000 0.500 0.500

***

Which of them is the most stable? Correct choice: a.

***

a:
# TiReS2 (PBE, relaxed)
# Density of states at the Fermi level (states/eV/cell): 9.4
data_TiReS2
_space_group_name_H-M_alt 'R -3 m'
_space_group_IT_number 166
_space_group_name_Hall '-R 3 2"'
_cell_length_a 3.0224
_cell_length_b 3.0224
_cell_length_c 23.7529
_cell_angle_alpha 90.00
_cell_angle_beta 90.00
_cell_angle_gamma 120.00
loop_
_atom_site_label
_atom_site_type_symbol
_atom_site_fract_x
_atom_site_fract_y
_atom_site_fract_z
Ti1 Ti 0.0000 0.0000 0.0000
Re1 Re 0.0000 0.0000 0.5000
S1 S 0.0000 0.0000 0.4030

***

b:
# TiReS2 (PBE, relaxed)
# Density of states at the Fermi level (states/eV/cell): 7.2
data_TiReS2
_space_group_name_H-M_alt 'I -4 2 d'
_space_group_IT_number 122
_space_group_name_Hall 'I -4 2bw'
_cell_length_a 4.582
_cell_length_b 4.582
_cell_length_c 13.406
_cell_angle_alpha 90.00
_cell_angle_beta 90.00
_cell_angle_gamma 90.00
loop_
_atom_site_label
_atom_site_type_symbol
_atom_site_fract_x
_atom_site_fract_y
_atom_site_fract_z
Ti1 Ti 0.000 0.000 0.000
Re1 Re 0.000 0.000 0.500
S1 S 0.238 0.250 0.625

***

Which of them is the most stable? Correct choice: a.

***

a:
# Tl2ReS (PBE, relaxed)
# Density of states at the Fermi level (states/eV/cell): 10.6
data_Tl2ReS
_space_group_name_H-M_alt 'I -4 2 d'
_space_group_IT_number 122
_space_group_name_Hall 'I -4 2bw'
_cell_length_a 4.210
_cell_length_b 4.210
_cell_length_c 20.340
_cell_angle_alpha 90.00
_cell_angle_beta 90.00
_cell_angle_gamma 90.00
loop_
_atom_site_label
_atom_site_type_symbol
_atom_site_fract_x
_atom_site_fract_y
_atom_site_fract_z
Tl1 Tl 0.245 0.250 0.125
Re1 Re 0.000 0.000 0.000
S1 S 0.000 0.000 0.500

***

b:
# Tl2ReS (PBE, relaxed)
# Density of states at the Fermi level (states/eV/cell): 17.1
data_Tl2ReS
_space_group_name_H-M_alt 'F m -3 m'
_space_group_IT_number 225
_space_group_name_Hall '-F 4 2 3'
_cell_length_a 6.959
_cell_length_b 6.959
_cell_length_c 6.959
_cell_angle_alpha 90.00
_cell_angle_beta 90.00
_cell_angle_gamma 90.00
loop_
_atom_site_label
_atom_site_type_symbol
_atom_site_fract_x
_atom_site_fract_y
_atom_site_fract_z
Tl1 Tl 0.250 0.250 0.250
Re1 Re 0.000 0.000 0.000
S1 S 0.000 0.000 0.500

***

Which of them is the most stable? Correct choice: a.